Entry a
# Pm4Pt3Rh PBE optimized geometry
data_Pm4Pt3Rh
_symmetry_space_group_name_H-M 'P 1'
_symmetry_Int_Tables_number 1
_cell_length_a 3.891
_cell_length_b 4.487
_cell_length_c 10.827
_cell_angle_alpha 90.00
_cell_angle_beta 90.00
_cell_angle_gamma 90.00
loop_
_symmetry_equiv_pos_as_xyz
'x,y,z'
loop_
_atom_site_label
_atom_site_fract_x
_atom_site_fract_y
_atom_site_fract_z
_atom_site_occupancy
Pm1 0.000 0.000 0.000 1
Pm2 0.000 0.500 0.273 1
Pm3 0.500 0.000 0.492 1
Pm4 0.500 0.500 0.773 1
Pt1 0.000 0.000 0.723 1
Pt2 0.000 0.500 0.549 1
Pt3 0.500 0.500 0.050 1
Rh1 0.500 0.000 0.225 1
# - symmetry = Pmm2, No. 25

=====

Entry b
# Pm4Pt3Rh PBE optimized geometry
data_Pm4Pt3Rh
_symmetry_space_group_name_H-M 'P 1'
_symmetry_Int_Tables_number 1
_cell_length_a 5.864
_cell_length_b 5.864
_cell_length_c 5.864
_cell_angle_alpha 90.00
_cell_angle_beta 90.00
_cell_angle_gamma 90.00
loop_
_symmetry_equiv_pos_as_xyz
'x,y,z'
loop_
_atom_site_label
_atom_site_fract_x
_atom_site_fract_y
_atom_site_fract_z
_atom_site_occupancy
Pm1 0.000 0.000 0.000 1
Pm2 0.000 0.500 0.500 1
Pm3 0.500 0.000 0.500 1
Pm4 0.500 0.500 0.000 1
Pt1 0.000 0.000 0.500 1
Pt2 0.000 0.500 0.000 1
Pt3 0.500 0.000 0.000 1
Rh1 0.500 0.500 0.500 1
# - symmetry = Pm-3m, No. 221

=====

Order of stability, best first: entry a, entry b